Density functional theory data (PBE) for crystalline ReSN2F at its relaxed geometry.

a = 3.8139 Å, b = 3.8139 Å, c = 4.7975 Å
α = 90.00°, β = 90.00°, γ = 90.00°
Last column: magnetic moment on the atom in μB.
Fractional coordinates of all 5 atoms:
1 Re 0.0000 0.0000 0.0000  -0.25
2 S 0.0000 0.0000 0.5000  0.35
3 N 0.0000 0.5000 0.0000  0.38
4 N 0.5000 0.0000 0.0000  0.38
5 F 0.5000 0.5000 0.5000  0.20

Values from the calculation:
formation energy (no corrections)	438	meV/atom
offset from the most stable computed form	0	meV/atom
Fermi-level density of states	0.68	states/eV per atom



Density functional theory data (PBE) for crystalline Er4HgSe3 at its relaxed geometry.

a = 3.9825 Å, b = 7.2017 Å, c = 7.2017 Å
α = 108.12°, β = 90.00°, γ = 90.00°
Fractional coordinates of all 8 atoms:
1 Hg 0.5000 0.0000 0.0000
2 Se 0.0000 0.0000 0.5000
3 Se 0.5000 0.5000 0.5000
4 Se 0.0000 0.5000 0.0000
5 Er 0.0000 0.2523 0.2523
6 Er 0.5000 0.7504 0.2496
7 Er 0.0000 0.7477 0.7477
8 Er 0.5000 0.2496 0.7504

Values from the calculation:
formation energy (no corrections)	-1375	meV/atom
Fermi-level density of states	0.36	states/eV per atom



Density functional theory data (PBE) for crystalline BaTl7In2 at its relaxed geometry.

a = 5.1060 Å, b = 9.1870 Å, c = 9.4260 Å
α = 119.16°, β = 90.00°, γ = 90.00°
Fractional coordinates of all 10 atoms:
1 Ba 0.0000 0.0000 0.0000
2 Tl 0.0000 0.7796 0.5592
3 Tl 0.0000 0.2204 0.4408
4 Tl 0.5000 0.6833 0.7392
5 Tl 0.5000 0.3167 0.2608
6 Tl 0.5000 0.9441 0.2608
7 Tl 0.5000 0.0559 0.7392
8 Tl 0.5000 0.5000 0.0000
9 In 0.5000 0.6869 0.3737
10 In 0.5000 0.3131 0.6263

Values from the calculation:
uncorrected energy	-23.04	eV per cell
Fermi-level density of states	0.74	states/eV per atom